Record 1
Below is a relaxed structure of PmNi5SnGe2, with properties calculated at the GGA-PBE level.

## Properties
DOS at the Fermi energy = 0.48 states/eV per atom
Energy of formation from the pure elements = -167 kJ/mol of formula units

Geometry as POSCAR:
```
PmNi5SnGe2
1.0
-2.2141 -2.5939 -1.5694
2.8802 -2.4064 -0.0860
-2.7867 -3.6940 10.0367
Ni Pm Sn Ge
5 1 1 2
Cartesian
-3.4317 -4.3785 7.5879
-1.5691 -1.9094 0.8794
0.9781 -1.8157 1.6211
-1.0603 -4.3472 4.1906
-0.8846 -4.2848 8.3297
-1.3933 -1.8470 5.0184
0.0000 0.0000 0.0000
-1.6366 -5.1112 6.2663
-0.4840 -3.5832 2.1150
```


Record 2
Below is a relaxed structure of Pm2Ni4SnGe3, with properties calculated at the GGA-PBE level.

## Properties
DOS at the Fermi energy = 0.50 states/eV per atom
Energy of formation from the pure elements = -621 kJ/mol of formula units

Geometry as POSCAR:
```
Pm2Ni4SnGe3
1.0
4.1996 0.0000 0.0000
0.0000 4.1996 0.0000
0.0000 0.0000 9.9114
Pm Ni Ge Sn
2 4 3 1
Cartesian
0.0000 2.0998 7.5695
2.0998 0.0000 2.3418
2.0998 2.0998 0.0000
0.0000 2.0998 3.5678
2.0998 0.0000 6.3435
0.0000 0.0000 0.0000
2.0998 0.0000 8.7028
0.0000 2.0998 1.2086
0.0000 0.0000 4.9557
2.0998 2.0998 4.9557
```


Record 3
Below is a relaxed structure of SrPmNiGe, with properties calculated at the GGA-PBE level.

## Properties
DOS at the Fermi energy = 0.89 states/eV per atom
Energy of formation from the pure elements = -104 kJ/mol of formula units

Geometry as POSCAR:
```
SrPmNiGe
1.0
5.1631 0.0000 0.0000
2.5816 4.4714 0.0000
2.5816 1.4905 4.2157
Pm Ge Sr Ni
1 1 1 1
Cartesian
5.1631 2.9809 2.1078
2.5816 1.4905 1.0539
0.0000 0.0000 0.0000
7.7447 4.4714 3.1618
```


Record 4
Below is a relaxed structure of Pm2TaNi3Ge4, with properties calculated at the GGA-PBE level.

## Properties
DOS at the Fermi energy = 0.46 states/eV per atom
Energy of formation from the pure elements = -591 kJ/mol of formula units

Geometry as POSCAR:
```
Pm2TaNi3Ge4
1.0
-2.5161 0.0271 3.2633
-0.0396 -4.1206 0.0037
8.2402 -0.0736 6.3540
Pm Ge Ni Ta
2 4 3 1
Cartesian
0.6557 -0.0035 3.1074
6.3066 -2.1168 4.8801
4.1087 -0.0343 5.7700
2.8536 -2.0859 2.2176
0.0000 0.0000 0.0000
-1.2779 -2.0467 1.6335
4.1201 -0.0368 3.1770
6.0089 -0.0513 7.2352
0.9534 -2.0690 0.7523
2.8422 -2.0835 4.8105
```


Record 5
Below is a relaxed structure of TbPm2Ni3Ge4, with properties calculated at the GGA-PBE level.

## Properties
DOS at the Fermi energy = 0.59 states/eV per atom
Energy of formation from the pure elements = -627 kJ/mol of formula units

Geometry as POSCAR:
```
TbPm2Ni3Ge4
1.0
-2.4320 -0.9678 -3.2579
-2.3353 -2.4347 2.4665
-6.4692 8.5303 2.2953
Pm Ge Ni Tb
2 4 3 1
Cartesian
-2.6459 1.4016 -1.1216
-6.2070 5.4275 3.0212
0.0000 0.0000 0.0000
-3.2737 1.5597 1.9805
-5.5791 5.2694 -0.0809
-2.3837 -1.7012 -0.3957
-1.8765 -0.2827 1.4847
-6.9764 7.1119 0.4148
-3.2346 4.2652 1.1476
-5.6183 2.5639 0.7519
```


Record 6
Below is a relaxed structure of TbPm2Ni2Ge2, with properties calculated at the GGA-PBE level.

## Properties
DOS at the Fermi energy = 0.58 states/eV per atom
Energy of formation from the pure elements = -419 kJ/mol of formula units

Geometry as POSCAR:
```
TbPm2Ni2Ge2
1.0
4.2067 0.0000 0.0000
2.1034 3.6431 0.0000
2.1034 1.2144 10.4087
Ni Ge Tb Pm
2 2 1 2
Cartesian
4.2067 2.4288 1.7649
4.2067 2.4288 8.6438
6.3101 3.6431 8.5071
2.1034 1.2144 1.9016
0.0000 0.0000 0.0000
2.1034 1.2144 6.7917
6.3101 3.6431 3.6170
```